# Li4Mn3Fe2Sn3O16

A geometry-optimized Li4Mn3Fe2Sn3O16 structure (PBE with a Hubbard U, the Alexandria database).

```
28
Lattice="6.102 0.001 -0.006 3.029 5.323 -0.004 0.159 0.029 9.645" Properties=species:S:1:pos:R:3 pbc="T T T"
Li 3.011 1.789 1.108
Li 0.168 0.072 0.062
Li 0.188 0.068 4.809
Li 6.139 3.568 5.827
Mn 1.660 0.921 7.515
Mn 4.655 4.432 2.755
Mn 6.111 1.818 2.719
Fe 3.118 1.745 4.859
Fe 6.011 3.533 0.089
Sn 3.135 3.528 7.588
Sn 4.653 0.921 7.613
Sn 7.645 4.410 2.758
O 3.167 3.602 3.871
O 4.490 2.562 6.302
O 3.223 1.843 8.768
O 9.143 5.288 6.563
O 3.175 5.251 1.831
O 4.731 0.914 3.835
O 1.756 2.513 6.339
O 3.099 0.226 6.360
O 7.780 4.487 8.798
O 1.636 0.828 3.803
O 6.042 5.110 1.548
O 7.384 2.711 1.548
O 6.057 3.638 3.834
O 4.700 4.518 8.638
O 4.725 2.859 1.586
O 6.274 1.770 8.678
```

Total energy, eV/atom: -6.391
SG: P1